{
  "formula": "MgMo2BrCl",
  "functional": "PBEsol",
  "state": "optimized geometry",
  "e_form_raw_ev_per_atom": 1.116,
  "n_ef_per_ev_cell": 6.05,
  "dft_energy_ev_per_atom": -4.71,
  "space_group": "No. 123",
  "cell": [[4.399, 0.000, 0.000], [0.000, 4.399, 0.000], [0.000, 0.000, 5.044]],
  "species": ["Mg", "Mo", "Mo", "Br", "Cl"],
  "frac_coords": [[0.000, 0.000, 0.000], [0.000, 0.500, 0.500], [0.500, 0.000, 0.500], [0.500, 0.500, 0.000], [0.000, 0.000, 0.500]]
}


{
  "formula": "InPbO2",
  "functional": "PBEsol",
  "state": "optimized geometry",
  "e_form_raw_ev_per_atom": -1.219,
  "n_ef_per_ev_cell": 0.55,
  "dft_energy_ev_per_atom": -5.59,
  "space_group": "No. 166",
  "cell": [[1.656, 0.956, 6.987], [-1.656, 0.956, 6.987], [0.000, -1.912, 6.987]],
  "species": ["In", "Pb", "O", "O"],
  "frac_coords": [[0.000, 0.000, 0.000], [0.500, 0.500, 0.500], [0.385, 0.385, 0.385], [0.615, 0.615, 0.615]]
}


{
  "formula": "CrSbI2",
  "functional": "PBEsol",
  "state": "optimized geometry",
  "e_form_raw_ev_per_atom": 0.233,
  "n_ef_per_ev_cell": 6.61,
  "dft_energy_ev_per_atom": -4.35,
  "space_group": "No. 122",
  "cell": [[-4.981, 4.981, 2.587], [4.981, -4.981, 2.587], [4.981, 4.981, -2.587]],
  "species": ["Cr", "Cr", "Sb", "Sb", "I", "I", "I", "I"],
  "frac_coords": [[0.000, 0.000, 0.000], [0.750, 0.250, 0.500], [0.250, 0.750, 0.500], [0.500, 0.500, 0.000], [0.375, 0.027, 0.152], [0.777, 0.625, 0.652], [0.875, 0.223, 0.848], [0.973, 0.125, 0.348]]
}


{
  "formula": "Na3InW",
  "functional": "PBEsol",
  "state": "optimized geometry",
  "n_ef_per_ev_cell": 2.84,
  "dft_energy_ev_per_atom": -2.58,
  "e_form_ev_per_atom": 1.622,
  "space_group": "No. 221",
  "cell": [[5.757, 0.000, 0.000], [0.000, 5.757, 0.000], [0.000, 0.000, 5.757]],
  "species": ["Na", "Na", "Na", "In", "W"],
  "frac_coords": [[0.000, 0.000, 0.500], [0.000, 0.500, 0.000], [0.500, 0.000, 0.000], [0.500, 0.500, 0.500], [0.000, 0.000, 0.000]]
}


{
  "formula": "HgRu2Cl",
  "functional": "PBEsol",
  "state": "optimized geometry",
  "e_form_raw_ev_per_atom": 0.227,
  "n_ef_per_ev_cell": 2.29,
  "dft_energy_ev_per_atom": -5.50,
  "de_polymorph_mev_per_atom": 0,
  "space_group": "No. 99",
  "cell": [[2.845, 0.000, 0.000], [0.000, 2.845, 0.000], [0.000, 0.000, 8.298]],
  "species": ["Hg", "Ru", "Ru", "Cl"],
  "frac_coords": [[0.000, 0.000, 0.000], [0.000, 0.000, 0.443], [0.500, 0.500, 0.251], [0.500, 0.500, 0.646]]
}


{
  "formula": "Y2BeIn",
  "functional": "PBEsol",
  "state": "optimized geometry",
  "n_ef_per_ev_cell": 2.18,
  "dft_energy_ev_per_atom": -5.41,
  "de_polymorph_mev_per_atom": 0,
  "e_form_ev_per_atom": -0.254,
  "space_group": "No. 123",
  "cell": [[3.487, 0.000, 0.000], [0.000, 3.487, 0.000], [0.000, 0.000, 7.307]],
  "species": ["Y", "Y", "Be", "In"],
  "frac_coords": [[0.000, 0.000, 0.221], [0.000, 0.000, 0.779], [0.500, 0.500, 0.000], [0.500, 0.500, 0.500]]
}